(1)
Compound: LiCdO3
Source: Alexandria
Functional: GGA-PBE
Structure: optimized geometry

The structure in POSCAR format:
```
LiCdO3
1.0
-1.101 -1.588 3.133
3.341 -1.485 0.422
1.082 2.970 1.886
Cd O Li
1 3 1
Direct
0.500 0.500 0.500
0.000 0.000 0.500
0.500 0.000 0.000
0.000 0.500 0.000
0.000 0.000 0.000
```

## Properties
Its formation energy from raw total energies is -0.250 eV per atom. As for the energy: -3.790 eV per atom.

***

(2)
Compound: Y8Tm6Zr
Source: Alexandria
Functional: GGA-PBE
Structure: optimized geometry

The structure in POSCAR format:
```
Y8Tm6Zr
1.0
5.743 0.000 0.000
0.000 8.431 -4.868
0.000 0.000 9.736
Y Zr Tm
8 1 6
Direct
0.234 0.780 0.050
0.236 0.667 0.333
0.766 0.050 0.270
0.764 0.333 0.667
0.234 0.270 0.220
0.766 0.730 0.780
0.234 0.950 0.730
0.766 0.220 0.950
0.500 0.000 0.000
0.256 0.527 0.620
0.256 0.093 0.473
0.744 0.907 0.527
0.744 0.620 0.093
0.744 0.473 0.380
0.256 0.380 0.907
```

## Properties
The value obtained for the formation energy is 0.161 eV/atom. As for the energy: -5.645 eV per atom.

***

(3)
Compound: Ba3PuZn2O6
Source: Alexandria
Functional: GGA-PBE
Structure: optimized geometry

The structure in POSCAR format:
```
Ba3PuZn2O6
1.0
-5.336 -2.605 1.161
3.855 1.145 4.520
-2.956 6.449 0.888
O Pu Ba Zn
6 1 3 2
Direct
0.166 0.332 0.322
0.668 0.834 0.322
0.834 0.668 0.678
0.834 0.166 0.678
0.166 0.834 0.322
0.332 0.166 0.678
0.000 0.000 0.500
0.667 0.333 0.355
0.333 0.667 0.645
0.000 0.000 0.000
0.667 0.333 0.832
0.333 0.667 0.168
```

## Properties
Its formation energy from raw total energies is -2.193 eV per atom. As for the energy: -6.559 eV per atom.

***

Respective total magnetization values: 3.00, 0.14, 3.28 μB per cell.